Record 1
Here is ScSnTeI2 after structural relaxation from Alexandria via LeMat-Bulk. Energies are from GGA-PBEsol.

Lattice parameters (Å, degrees): 5.8401 5.7482 5.7482 90.00 90.00 90.00
Site moments in Bohr magnetons follow the coordinates.
Atoms (fractional coordinates):
Sn  0.0000  0.0000  0.0000  -0.01
I  0.0000  0.0000  0.5000  -0.01
I  0.0000  0.5000  0.0000  -0.01
Sc  0.5000  0.5000  0.5000  0.94
Te  0.5000  0.0000  0.0000  -0.05


Record 2
Here is SrSc2I2 after structural relaxation from Alexandria via LeMat-Bulk. Energies are from GGA-PBEsol.

Lattice parameters (Å, degrees): 4.1434 4.1434 8.5930 103.95 103.95 90.00
Atoms (fractional coordinates):
I  0.6101  0.6101  0.2201
I  0.3899  0.3899  0.7799
Sc  0.7500  0.2500  0.5000
Sc  0.2500  0.7500  0.5000
Sr  0.0000  0.0000  0.0000


Record 3
Here is Sc3TcI after structural relaxation from Alexandria via LeMat-Bulk. Energies are from GGA-PBEsol.

Lattice parameters (Å, degrees): 5.0154 5.0154 5.0154 90.00 90.00 90.00
Atoms (fractional coordinates):
I  0.5000  0.5000  0.5000
Sc  0.5000  0.0000  0.0000
Sc  0.0000  0.5000  0.0000
Sc  0.0000  0.0000  0.5000
Tc  0.0000  0.0000  0.0000


Record 4
Here is ScTeI2 after structural relaxation from Alexandria via LeMat-Bulk. Energies are from GGA-PBEsol.

Lattice parameters (Å, degrees): 5.5698 7.7464 7.7464 82.57 68.93 68.93
Atoms (fractional coordinates):
I  0.8750  0.6370  0.8630
I  0.2620  0.8630  0.3630
I  0.3750  0.3630  0.1370
I  0.4880  0.1370  0.6370
Sc  0.5000  0.0000  0.0000
Sc  0.2500  0.5000  0.5000
Te  0.0000  0.0000  0.0000
Te  0.7500  0.5000  0.5000


Record 5
Here is YScTe2I after structural relaxation from Alexandria via LeMat-Bulk. Energies are from GGA-PBEsol.

Lattice parameters (Å, degrees): 5.6674 5.7851 5.7851 90.00 90.00 90.00
Site moments in Bohr magnetons follow the coordinates.
Atoms (fractional coordinates):
Sc  0.5000  0.5000  0.5000  0.86
Y  0.0000  0.0000  0.0000  0.01
I  0.5000  0.0000  0.0000  -0.01
Te  0.0000  0.0000  0.5000  -0.06
Te  0.0000  0.5000  0.0000  -0.06


Record 6
Here is ScZnTeI2 after structural relaxation from Alexandria via LeMat-Bulk. Energies are from GGA-PBEsol.

Lattice parameters (Å, degrees): 5.2956 5.2956 5.4090 90.00 90.00 90.00
Site moments in Bohr magnetons follow the coordinates.
Atoms (fractional coordinates):
Zn  0.0000  0.0000  0.0000  0.01
I  0.0000  0.5000  0.0000  -0.03
I  0.5000  0.0000  0.0000  -0.03
Sc  0.5000  0.5000  0.5000  0.56
Te  0.0000  0.0000  0.5000  -0.06


Record 7
Here is ScTi2TlI after structural relaxation from Alexandria via LeMat-Bulk. Energies are from GGA-PBEsol.

Lattice parameters (Å, degrees): 4.8270 4.8270 5.5000 90.00 90.00 90.00
Atoms (fractional coordinates):
I  0.5000  0.5000  0.5000
Ti  0.5000  0.0000  0.0000
Ti  0.0000  0.5000  0.0000
Sc  0.0000  0.0000  0.0000
Tl  0.0000  0.0000  0.5000


Record 8
Here is YScI3 after structural relaxation from Alexandria via LeMat-Bulk. Energies are from GGA-PBEsol.

Lattice parameters (Å, degrees): 5.8558 5.8558 5.8558 90.00 90.00 90.00
Site moments in Bohr magnetons follow the coordinates.
Atoms (fractional coordinates):
I  0.0000  0.5000  0.0000  0.01
I  0.5000  0.0000  0.0000  0.01
I  0.0000  0.0000  0.5000  0.01
Y  0.0000  0.0000  0.0000  0.11
Sc  0.5000  0.5000  0.5000  1.20


Record 9
Here is YSc3I after structural relaxation from Alexandria via LeMat-Bulk. Energies are from GGA-PBEsol.

Lattice parameters (Å, degrees): 5.2631 5.2631 5.2631 90.00 90.00 90.00
Atoms (fractional coordinates):
I  0.0000  0.0000  0.0000
Sc  0.5000  0.0000  0.0000
Sc  0.0000  0.0000  0.5000
Sc  0.0000  0.5000  0.0000
Y  0.5000  0.5000  0.5000


Record 10
Here is ScZn3I after structural relaxation from Alexandria via LeMat-Bulk. Energies are from GGA-PBEsol.

Lattice parameters (Å, degrees): 5.1657 5.1657 5.1657 90.00 90.00 90.00
Atoms (fractional coordinates):
Zn  0.0000  0.5000  0.0000
Zn  0.5000  0.0000  0.0000
Zn  0.0000  0.0000  0.5000
Sc  0.5000  0.5000  0.5000
I  0.0000  0.0000  0.0000


Record 11
Here is ZrScI3 after structural relaxation from Alexandria via LeMat-Bulk. Energies are from GGA-PBEsol.

Lattice parameters (Å, degrees): 5.6120 5.6120 5.6120 90.00 90.00 90.00
Site moments in Bohr magnetons follow the coordinates.
Atoms (fractional coordinates):
Zr  0.0000  0.0000  0.0000  0.22
Sc  0.5000  0.5000  0.5000  1.11
I  0.0000  0.5000  0.0000  0.00
I  0.0000  0.0000  0.5000  0.00
I  0.5000  0.0000  0.0000  0.00


Record 12
Here is ZrSc3I after structural relaxation from Alexandria via LeMat-Bulk. Energies are from GGA-PBEsol.

Lattice parameters (Å, degrees): 5.1648 5.1648 5.1648 90.00 90.00 90.00
Atoms (fractional coordinates):
Sc  0.0000  0.0000  0.5000
Sc  0.5000  0.0000  0.0000
Sc  0.0000  0.5000  0.0000
Zr  0.5000  0.5000  0.5000
I  0.0000  0.0000  0.0000


Short version: total energy = -3.4006; -4.2380; -6.4772; -4.1084; -4.7949; -3.0587; -4.5481; -4.0636; -5.5078; -1.5979; -4.1787; -5.6970 eV/atom, in the order given.
Short version: E_form (uncorrected) = 0.184; -0.521; 0.092; -0.692; -0.346; -0.009; 0.981; -0.318; 0.173; 1.026; 0.020; 0.437 eV/atom, in the order given.